Entry 1:
Below is a relaxed Ba2SeCl crystal, with properties calculated at the PBEsol level.

Properties
Mass density   4.90 g/cm³
Energy   -4.509 eV per atom
Total moment   0.00 Bohr magnetons per cell

Cell: 4.575 4.575 7.741 Å, 72.81 72.81 60.00°
Sites, in units of the cell vectors:
Ba  0.252  0.252  0.246
Ba  0.748  0.748  0.754
Se  0.000  0.000  0.000
Cl  0.500  0.500  0.500



Entry 2:
Below is a relaxed Ba2SeCl crystal, with properties calculated at the PBEsol level.

Properties
Mass density   4.88 g/cm³
Energy   -4.493 eV per atom
Total moment   0.00 Bohr magnetons per cell

Cell: 4.547 4.547 6.399 Å, 90.00 90.00 90.00°
Sites, in units of the cell vectors:
Ba  0.000  0.000  0.000
Ba  0.500  0.500  0.500
Se  0.000  0.000  0.500
Cl  0.500  0.500  0.000



Which formula does entry 2 have?
Ba2SeCl